Density functional theory data (PBE) for a geometry-optimized Be3CrGa structure.

Computed properties:
Calculated total energy ... -3.54 eV per atom
Formation energy ... 1230 meV per atom
Energy above the most stable polymorph in this dataset ... 0 meV per atom
Density of states at the Fermi level ... 3.6 states/eV/f.u.

Cell lengths 4.124, 4.124, 4.124 Å; angles 90.00, 90.00, 90.00 degrees
Atoms (fractional coordinates):
Be (0.000, 0.000, 0.500)
Be (0.000, 0.500, 0.000)
Be (0.500, 0.000, 0.000)
Cr (0.000, 0.000, 0.000)
Ga (0.500, 0.500, 0.500)